CrAs | the Alexandria database | PBE-GGA | optimized geometry; raw total energy = -6.97 eV per atom; theoretical density = 5.7 g cm⁻³; energy relative to the elements = 0.165 eV per atom
1.0
0.2192 2.4356 -3.1986
-1.7381 1.2880 3.3957
9.3522 3.6344 3.4085
Cr As
4 4
Cartesian
2.3380 0.9086 0.8521 Cr
7.0141 2.7258 2.5564 Cr
5.9284 4.3963 3.7540 Cr
1.9048 2.9617 -0.1484 Cr
0.0596 2.1156 1.6151 As
5.3882 4.3154 1.1212 As
7.7736 5.2424 1.9906 As
2.4451 3.0426 2.4844 As